*P*
A plane-wave DFT calculation with PBE+U was carried out for crystalline VTcI2O at its relaxed geometry. Values from VASP.

Properties
Space group: P4/mmm (123)

Structure (Quantum ESPRESSO input):
```
&SYSTEM
  ibrav = 0, nat = 5, ntyp = 4
/
ATOMIC_SPECIES
V 50.94 V.upf
Tc 98.00 Tc.upf
I 126.90 I.upf
O 16.00 O.upf
ATOMIC_POSITIONS crystal
V 0.0000 0.0000 0.0000
Tc 0.5000 0.5000 0.5000
I 0.0000 0.5000 0.0000
I 0.5000 0.0000 0.0000
O 0.0000 0.0000 0.5000
CELL_PARAMETERS angstrom
5.7995 0.0000 0.0000
0.0000 5.7995 0.0000
0.0000 0.0000 3.6586
```


*Q*
A plane-wave DFT calculation with PBE+U was carried out for crystalline VTcI2O at its relaxed geometry. Values from VASP.

Properties
Space group: P4/mmm (123)

Structure (Quantum ESPRESSO input):
```
&SYSTEM
  ibrav = 0, nat = 5, ntyp = 4
/
ATOMIC_SPECIES
V 50.94 V.upf
Tc 98.00 Tc.upf
I 126.90 I.upf
O 16.00 O.upf
ATOMIC_POSITIONS crystal
V 0.0000 0.0000 0.0000
Tc 0.5000 0.5000 0.5000
I 0.0000 0.5000 0.5000
I 0.5000 0.0000 0.5000
O 0.5000 0.5000 0.0000
CELL_PARAMETERS angstrom
5.5901 0.0000 0.0000
0.0000 5.5901 0.0000
0.0000 0.0000 3.7503
```


Which structure is the most stable? The one labeled *Q*.